Record 1
Here is a geometry-optimized K2AgRu structure from the Alexandria database. Energies are from PBE-GGA.

The calculation puts the density of states at the Fermi level at 0.5121 states/eV/atom. Its theoretical density is 5.26 Mg/m³. For the excess energy over the best structure of this formula in the dataset, the calculation gives 266 meV/atom. As for the energy of formation from the pure elements: 0.98 eV/atom. Its crystal system is orthorhombic. Its raw total energy is -2.5966 eV/atom. Its symmetry is No. 71.

Unit cell a=6.455 b=6.455 c=6.455 alpha=153.62 beta=130.27 gamma=57.16
Fractional coordinates of all 4 atoms:
K 0.246 0.246 0.000
K 0.754 0.754 0.000
Ag 0.500 0.000 0.500
Ru 0.000 0.500 0.500

---

Record 2
Here is a geometry-optimized KAg2Ru structure from the Alexandria database. Energies are from PBE-GGA.

The calculation puts the density of states at the Fermi level at 0.7629 states/eV/atom. Its theoretical density is 6.84 Mg/m³. For the excess energy over the best structure of this formula in the dataset, the calculation gives 0 meV/atom. As for the energy of formation from the pure elements: 0.57 eV/atom. Its crystal system is orthorhombic. Its raw total energy is -3.4464 eV/atom. Its symmetry is No. 47.

Unit cell a=2.761 b=4.192 c=7.469 alpha=90.00 beta=90.00 gamma=90.00
Fractional coordinates of all 4 atoms:
K 0.000 0.000 0.000
Ag 0.500 0.500 0.316
Ag 0.500 0.500 0.684
Ru 0.000 0.000 0.500

---

Record 3
Here is a geometry-optimized K2AgRu structure from the Alexandria database. Energies are from PBE-GGA.

The calculation puts the density of states at the Fermi level at 1.1323 states/eV/atom. Its theoretical density is 4.92 Mg/m³. For the excess energy over the best structure of this formula in the dataset, the calculation gives 279 meV/atom. As for the energy of formation from the pure elements: 1.00 eV/atom. Its crystal system is orthorhombic. Its raw total energy is -2.5832 eV/atom. Its symmetry is No. 47.

Unit cell a=3.424 b=5.135 c=5.510 alpha=90.00 beta=90.00 gamma=90.00
Fractional coordinates of all 4 atoms:
K 0.000 0.000 0.000
K 0.500 0.500 0.000
Ag 0.000 0.500 0.500
Ru 0.500 0.000 0.500

---

Record 4
Here is a geometry-optimized K2AgRu structure from the Alexandria database. Energies are from PBE-GGA.

The calculation puts the density of states at the Fermi level at 1.1471 states/eV/atom. Its theoretical density is 3.71 Mg/m³. For the excess energy over the best structure of this formula in the dataset, the calculation gives 34 meV/atom. As for the energy of formation from the pure elements: 0.75 eV/atom. Its crystal system is tetragonal. Its raw total energy is -2.8279 eV/atom. Its symmetry is No. 99.

Unit cell a=3.606 b=3.606 c=9.880 alpha=90.00 beta=90.00 gamma=90.00
Fractional coordinates of all 4 atoms:
K 0.000 0.000 0.000
K 0.500 0.500 0.431
Ag 0.500 0.500 0.761
Ru 0.000 0.000 0.676